First-principles (PBE) data for crystalline LiTe2Br at its relaxed geometry, as listed in Alexandria via LeMat-Bulk.

Cell: 5.3000 5.3000 5.3000 Å, 60.00 60.00 60.00°
Sites, in units of the cell vectors:
Te: 0.2500 0.2500 0.2500
Te: 0.7500 0.7500 0.7500
Br: 0.5000 0.5000 0.5000
Li: 0.0000 0.0000 0.0000

Results
Formation energy (no corrections) in kJ/mol of atoms: 10
Energy relative to the lowest polymorph listed for this composition in meV/atom: 727.7